(1)
Compound: Na2Cu2Se
Source: the Alexandria database
Functional: PBE
Structure: optimized geometry

abc: 6.5843 6.5843 4.5389
angles: 90.00 90.00 90.00
Closest atoms and distances in Å follow each position.
Positions (direct):
Na  0.1783  0.3217  0.0000  6 Cu 2.90-3.06
Na  0.3217  0.8217  0.0000  6 Cu 2.90-3.06
Na  0.6783  0.1783  0.0000  6 Cu 2.90-3.06
Na  0.8217  0.6783  0.0000  6 Cu 2.90-3.06
Cu  0.1283  0.6283  0.5000  1 Cu 2.39, 2 Se 2.59
Cu  0.3717  0.1283  0.5000  1 Cu 2.39, 2 Se 2.59
Cu  0.6283  0.8717  0.5000  1 Cu 2.39, 2 Se 2.59
Cu  0.8717  0.3717  0.5000  1 Cu 2.39, 2 Se 2.59
Se  0.0000  0.0000  0.5000  4 Cu 2.59
Se  0.5000  0.5000  0.5000  4 Cu 2.59

As for the uncorrected formation energy: -0.119 eV per atom. As for the distance to the lowest polymorph of the same formula: 0.000 eV/atom. For the total energy, the calculation gives -29.81 eV for the cell shown.

***

(2)
Compound: CaTm2Cd2In2
Source: the Alexandria database
Functional: PBE
Structure: optimized geometry

abc: 9.5293 9.5293 9.5293
angles: 30.08 30.08 30.08
Closest atoms and distances in Å follow each position.
Positions (direct):
Ca  0.0000  0.0000  0.0000  6 Cd 3.54, 2 Tm 3.55, 6 In 3.58
Tm  0.1301  0.1301  0.1301  4 In 3.17-3.38, 3 Cd 3.20, 3 Tm 3.48, 1 Ca 3.55
Tm  0.8699  0.8699  0.8699  4 In 3.17-3.38, 3 Cd 3.20, 3 Tm 3.48, 1 Ca 3.55
Cd  0.4103  0.4103  0.4103  3 In 2.86
Cd  0.5897  0.5897  0.5897  3 In 2.86
In  0.2541  0.2541  0.2541  3 Cd 2.86, 3 Tm 3.17
In  0.7459  0.7459  0.7459  3 Cd 2.86, 3 Tm 3.17

For the energy of formation, the calculation gives -251 meV per atom. For the total energy, the calculation gives -20.01 eV for the cell shown.

***

(3)
Compound: LaTbCu10
Source: the Alexandria database
Functional: PBE
Structure: optimized geometry

abc: 4.1208 5.1266 8.8036
angles: 90.00 90.00 90.00
Closest atoms and distances in Å follow each position.
Positions (direct):
La  0.0000  0.0000  0.0000  18 Cu 2.98-3.32
Tb  0.0000  0.5000  0.5000  14 Cu 2.89-3.23
Cu  0.0000  0.0000  0.3389  6 Cu 2.50-2.54
Cu  0.0000  0.0000  0.6611  6 Cu 2.50-2.54
Cu  0.0000  0.5000  0.1719  6 Cu 2.53-2.56
Cu  0.0000  0.5000  0.8281  6 Cu 2.53-2.56
Cu  0.5000  0.0000  0.5000  8 Cu 2.50-2.51
Cu  0.5000  0.2537  0.2565  8 Cu 2.51-2.60
Cu  0.5000  0.2537  0.7435  8 Cu 2.51-2.60
Cu  0.5000  0.5000  0.0000  8 Cu 2.56-2.59
Cu  0.5000  0.7463  0.2565  8 Cu 2.51-2.60
Cu  0.5000  0.7463  0.7435  8 Cu 2.51-2.60

For the energy of formation, the calculation gives -175 meV per atom. For the total energy, the calculation gives -52.62 eV for the cell shown.

***

(4)
Compound: GdErInCo
Source: the Alexandria database
Functional: PBE
Structure: optimized geometry

abc: 5.0884 5.0884 5.0884
angles: 60.00 60.00 60.00
Closest atoms and distances in Å follow each position.
Positions (direct):
Gd  0.0000  0.0000  0.0000  4 In 3.12, 4 Co 3.12
Er  0.5000  0.5000  0.5000  4 In 3.12, 4 Co 3.12
In  0.2500  0.2500  0.2500  4 Er 3.12, 4 Gd 3.12
Co  0.7500  0.7500  0.7500  4 Er 3.12, 4 Gd 3.12

For the energy of formation, the calculation gives -196 meV per atom. For the total energy, the calculation gives -29.27 eV for the cell shown.